# 1
Compound: CuRe2Ru
Source: Alexandria
Functional: GGA-PBE
Structure: optimized geometry

Computed properties:
* DFT formation energy: 0.50 eV per atom
* density of states at the Fermi level: 4.6 states/eV per cell
* M_tot: 0.00 μB/cell
* total DFT energy (no corrections): -9.0704 eV per atom

Cell: 4.571 4.571 2.729 Å, 90.00 90.00 90.00°
Space group P4/mmm (No. 123)
Unique sites:
Cu (0.000, 0.000, 0.000) [1 per cell]
Re (0.000, 0.500, 0.500) [2 per cell]
Ru (0.500, 0.500, 0.000) [1 per cell]

# 2
Compound: CuRe2Ru
Source: Alexandria
Functional: GGA-PBE
Structure: optimized geometry

Computed properties:
* DFT formation energy: 0.40 eV per atom
* density of states at the Fermi level: 8.8 states/eV per cell
* M_tot: 0.00 μB/cell
* total DFT energy (no corrections): -9.1634 eV per atom

Cell: 2.829 4.505 9.076 Å, 90.00 90.00 90.00°
Space group Cmmm (No. 65)
Unique sites:
Cu (0.000, 0.000, 0.000) [2 per cell]
Re (0.000, 0.500, 0.250) [4 per cell]
Ru (0.000, 0.000, 0.500) [2 per cell]

# 3
Compound: CuRe2Ru
Source: Alexandria
Functional: GGA-PBE
Structure: optimized geometry

Computed properties:
* DFT formation energy: 0.17 eV per atom
* density of states at the Fermi level: 11.7 states/eV per cell
* M_tot: 0.00 μB/cell
* total DFT energy (no corrections): -9.3935 eV per atom

Cell: 2.7358 2.7358 26.4904 Å, 90.00 90.00 120.00°
Space group R3m (No. 160, hexagonal axes)
Unique sites:
Cu (0.0000, 0.0000, 0.0000) [3 per cell]
Re (0.0000, 0.0000, 0.5011) [3 per cell]
Re (0.0000, 0.0000, 0.7503) [3 per cell]
Ru (0.0000, 0.0000, 0.2506) [3 per cell]

# 4
Compound: CuRe2Ru
Source: Alexandria
Functional: GGA-PBE
Structure: optimized geometry

Computed properties:
* DFT formation energy: 0.23 eV per atom
* density of states at the Fermi level: 6.8 states/eV per cell
* M_tot: 0.00 μB/cell
* total DFT energy (no corrections): -9.3420 eV per atom

Cell: 9.134 2.736 4.628 Å, 90.00 100.42 90.00°
Space group C2/m (No. 12)
Unique sites:
Cu (0.000, 0.000, 0.000) [2 per cell]
Re (0.244, 0.000, 0.744) [4 per cell]
Ru (0.000, 0.500, 0.500) [2 per cell]

# 5
Compound: CuRe2Ru
Source: Alexandria
Functional: GGA-PBE
Structure: optimized geometry

Computed properties:
* DFT formation energy: 0.21 eV per atom
* density of states at the Fermi level: 19.9 states/eV per cell
* M_tot: 0.00 μB/cell
* total DFT energy (no corrections): -9.3596 eV per atom

Cell: 2.7283 2.7283 26.5378 Å, 90.00 90.00 120.00°
Space group R-3m (No. 166, hexagonal axes)
Unique sites:
Cu (0.0000, 0.0000, 0.0000) [3 per cell]
Re (0.0000, 0.0000, 0.2498) [6 per cell]
Ru (0.0000, 0.0000, 0.5000) [3 per cell]

# 6
Compound: CuRe2Ru
Source: Alexandria
Functional: GGA-PBE
Structure: optimized geometry

Computed properties:
* DFT formation energy: 0.29 eV per atom
* density of states at the Fermi level: 14.1 states/eV per cell
* M_tot: 0.00 μB/cell
* total DFT energy (no corrections): -9.2797 eV per atom

Cell: 6.106 6.106 6.106 Å, 90.00 90.00 90.00°
Space group F-43m (No. 216)
Unique sites:
Cu (0.000, 0.000, 0.000) [4 per cell]
Re (0.000, 0.000, 0.500) [4 per cell]
Re (0.250, 0.250, 0.750) [4 per cell]
Ru (0.250, 0.250, 0.250) [4 per cell]